DFT (PBE) results for a relaxed Li5Cd2Ag2Ge crystal.

space group = P4/mbm (127)
calculated formation energy = -15.90 kJ per mole of atoms
calculated volume = 359.6 Å³/cell

a = 3.042 Å, b = 10.872 Å, c = 10.872 Å
α = 90.00°, β = 90.00°, γ = 90.00°
Atoms (fractional coordinates):
Ge (0.000, 0.500, 0.500)
Ge (0.000, 0.000, 0.000)
Cd (0.000, 0.831, 0.669)
Cd (0.000, 0.331, 0.831)
Li (0.500, 0.193, 0.030)
Li (0.500, 0.693, 0.470)
Li (0.500, 0.530, 0.693)
Li (0.500, 0.470, 0.307)
Ag (0.000, 0.643, 0.857)
Ag (0.000, 0.857, 0.357)
Li (0.500, 0.030, 0.807)
Li (0.500, 0.807, 0.970)
Li (0.500, 0.500, 0.000)
Li (0.500, 0.000, 0.500)
Cd (0.000, 0.169, 0.331)
Li (0.500, 0.970, 0.193)
Ag (0.000, 0.357, 0.143)
Li (0.500, 0.307, 0.530)
Ag (0.000, 0.143, 0.643)
Cd (0.000, 0.669, 0.169)

DFT (PBE) results for a relaxed LuCdAgGe crystal.

space group = F-43m (216)
calculated formation energy = -25.55 kJ per mole of atoms
calculated volume = 82.9 Å³/cell

a = 4.894 Å, b = 4.894 Å, c = 4.894 Å
α = 60.00°, β = 60.00°, γ = 60.00°
Atoms (fractional coordinates):
Ag (0.750, 0.750, 0.750)
Lu (0.000, 0.000, 0.000)
Ge (0.250, 0.250, 0.250)
Cd (0.500, 0.500, 0.500)

DFT (PBE) results for a relaxed MgCdAgGe crystal.

space group = F-43m (216)
calculated formation energy = 1.13 kJ per mole of atoms
calculated volume = 79.5 Å³/cell

a = 4.826 Å, b = 4.826 Å, c = 4.826 Å
α = 60.00°, β = 60.00°, γ = 60.00°
Atoms (fractional coordinates):
Ag (0.750, 0.750, 0.750)
Ge (0.250, 0.250, 0.250)
Cd (0.500, 0.500, 0.500)
Mg (0.000, 0.000, 0.000)

DFT (PBE) results for a relaxed NdCdAgGe crystal.

space group = F-43m (216)
calculated formation energy = -31.02 kJ per mole of atoms
calculated volume = 89.9 Å³/cell

a = 5.028 Å, b = 5.028 Å, c = 5.028 Å
α = 60.00°, β = 60.00°, γ = 60.00°
Atoms (fractional coordinates):
Ge (0.250, 0.250, 0.250)
Ag (0.750, 0.750, 0.750)
Nd (0.000, 0.000, 0.000)
Cd (0.500, 0.500, 0.500)

DFT (PBE) results for a relaxed CdAg2GeO4 crystal.

space group = I-4 (82)
ΔE_f (raw) = -0.86 eV per atom
calculated volume = 117.1 Å³/cell

a = 5.344 Å, b = 5.344 Å, c = 5.344 Å
α = 105.78°, β = 111.35°, γ = 111.35°
Atoms (fractional coordinates):
O (0.338, 0.842, 0.824)
Ag (0.000, 0.000, 0.000)
O (0.982, 0.496, 0.158)
Cd (0.500, 0.250, 0.750)
O (0.018, 0.176, 0.514)
Ag (0.500, 0.750, 0.250)
Ge (0.000, 0.500, 0.500)
O (0.662, 0.486, 0.504)

DFT (PBE) results for a relaxed PuCdAgGe crystal.

space group = F-43m (216)
calculated formation energy = -11.14 kJ per mole of atoms
calculated volume = 86.3 Å³/cell

a = 4.961 Å, b = 4.961 Å, c = 4.961 Å
α = 60.00°, β = 60.00°, γ = 60.00°
Each line ends with the local moment (μB).
Atoms (fractional coordinates):
Pu (0.000, 0.000, 0.000)  5.29
Cd (0.500, 0.500, 0.500)  0.00
Ge (0.750, 0.750, 0.750)  0.00
Ag (0.250, 0.250, 0.250)  0.01

DFT (PBE) results for a relaxed RbCd4Ag2Ge crystal.

space group = R-3m (166)
calculated formation energy = 8.18 kJ per mole of atoms
calculated volume = 215.3 Å³/cell

a = 4.734 Å, b = 4.734 Å, c = 11.424 Å
α = 78.04°, β = 78.04°, γ = 60.00°
Atoms (fractional coordinates):
Cd (0.129, 0.129, 0.612)
Ge (0.500, 0.500, 0.500)
Ag (0.763, 0.763, 0.710)
Rb (0.000, 0.000, 0.000)
Cd (0.410, 0.410, 0.771)
Ag (0.237, 0.237, 0.290)
Cd (0.871, 0.871, 0.388)
Cd (0.590, 0.590, 0.229)

DFT (PBE) results for a relaxed CdAg2GeS4 crystal.

space group = Pmn2_1 (31)
ΔE_f (raw) = -0.34 eV per atom
calculated volume = 377.5 Å³/cell

a = 6.704 Å, b = 7.135 Å, c = 7.891 Å
α = 90.00°, β = 90.00°, γ = 90.00°
Atoms (fractional coordinates):
Cd (0.515, 0.857, 0.500)
Ge (0.512, 0.828, 0.000)
S (0.119, 0.331, 0.269)
S (0.676, 0.180, 0.500)
S (0.629, 0.123, 0.000)
Ag (0.497, 0.327, 0.244)
S (0.119, 0.331, 0.731)
S (0.619, 0.669, 0.231)
Cd (0.015, 0.143, 0.000)
S (0.129, 0.877, 0.500)
S (0.176, 0.820, 0.000)
Ag (0.997, 0.673, 0.256)
Ag (0.997, 0.673, 0.744)
Ag (0.497, 0.327, 0.756)
Ge (0.012, 0.172, 0.500)
S (0.619, 0.669, 0.769)

DFT (PBE) results for a relaxed CdAg2GeS4 crystal.

space group = Pna2_1 (33)
ΔE_f (raw) = -0.34 eV per atom
calculated volume = 756.4 Å³/cell

a = 6.687 Å, b = 8.105 Å, c = 13.955 Å
α = 90.00°, β = 90.00°, γ = 90.00°
Atoms (fractional coordinates):
Cd (0.793, 0.489, 0.660)
S (0.680, 0.025, 0.337)
S (0.180, 0.975, 0.663)
Ag (0.801, 0.999, 0.662)
Ag (0.801, 0.501, 0.162)
Ge (0.789, 0.257, 0.410)
Ag (0.788, 0.744, 0.925)
S (0.125, 0.247, 0.909)
S (0.678, 0.013, 0.836)
S (0.625, 0.753, 0.091)
Ag (0.288, 0.244, 0.575)
S (0.171, 0.758, 0.438)
S (0.678, 0.487, 0.336)
S (0.625, 0.747, 0.591)
Cd (0.293, 0.989, 0.840)
S (0.178, 0.513, 0.664)
Ge (0.289, 0.743, 0.590)
Ge (0.789, 0.243, 0.910)
Cd (0.793, 0.011, 0.160)
S (0.180, 0.525, 0.163)
Ag (0.301, 0.001, 0.338)
S (0.671, 0.242, 0.562)
Ag (0.288, 0.256, 0.075)
S (0.680, 0.475, 0.837)
Cd (0.293, 0.511, 0.340)
S (0.178, 0.987, 0.164)
Ag (0.301, 0.499, 0.838)
S (0.125, 0.253, 0.409)
S (0.671, 0.258, 0.062)
S (0.171, 0.742, 0.938)
Ge (0.289, 0.757, 0.090)
Ag (0.788, 0.756, 0.425)

DFT (PBE) results for a relaxed CdAg2GeS4 crystal.

space group = I-42m (121)
ΔE_f (raw) = -0.33 eV per atom
calculated volume = 188.8 Å³/cell

a = 5.667 Å, b = 5.667 Å, c = 7.115 Å
α = 113.47°, β = 113.47°, γ = 90.01°
Atoms (fractional coordinates):
S (0.391, 0.841, 0.232)
Ag (0.750, 0.250, 0.500)
S (0.609, 0.609, 0.768)
Ge (0.500, 0.500, 0.000)
Ag (0.250, 0.750, 0.500)
S (0.159, 0.159, 0.768)
Cd (0.000, 0.000, 0.000)
S (0.841, 0.391, 0.232)

What is the calculated volume in the fourth record? 89.9 Å³/cell